Record 1
Density functional theory data (GGA-PBE) for a geometry-optimized Cs2HoHF6 structure.

Symmetry: I4/mmm
Total energy, Ha/atom: -0.18841
Total moment, μB/cell: 0.3
Mass density, g/cm³: 4.77

Cell lengths 6.274, 6.273, 7.368 Å; angles 54.09, 54.08, 67.80 degrees
Sites, in units of the cell vectors:
Cs  0.750  0.250  0.500
Cs  0.250  0.750  0.500
Ho  0.000  0.000  0.000
H  0.500  0.500  0.000
F  0.205  0.205  0.590
F  0.795  0.795  0.000
F  0.333  0.668  0.000
F  0.667  0.332  0.000
F  0.205  0.205  0.000
F  0.795  0.795  0.410

Record 2
Density functional theory data (GGA-PBE) for a geometry-optimized TaMnTc2 structure.

Symmetry: P4mm
Total energy, Ha/atom: -0.38440
Total moment, μB/cell: 1.6
Mass density, g/cm³: 12.13

Cell lengths 3.108, 3.108, 6.120 Å; angles 90.00, 90.00, 90.00 degrees
Sites, in units of the cell vectors:
Mn  0.000  0.000  0.497
Ta  0.500  0.500  0.739
Tc  0.000  0.000  0.004
Tc  0.500  0.500  0.260